(1)
The following is a PBE calculation of Hg6I2ClO2 after structural relaxation, from Alexandria via LeMat-Bulk.

Calculated values
Raw total energy = -1.714 eV/atom
Formation energy without anion corrections = -198 meV/atom
Volume = 412.3 Å³/cell

The structure in POSCAR format:
```
Hg6I2ClO2
1.0
7.7608 -3.3246 0.0000
7.7608 3.3246 0.0000
-3.1663 0.0000 7.9904
Hg I Cl O
6 2 1 2
Cartesian
5.1888 1.9807 5.2570
7.1664 1.9807 2.7333
2.8536 0.0000 7.9309
9.5017 0.0000 0.0595
5.1888 -1.9807 5.2570
7.1664 -1.9807 2.7333
1.2639 0.0000 5.8349
11.0914 0.0000 2.1555
0.0000 0.0000 0.0000
5.2074 0.0000 6.2744
7.1478 0.0000 1.7160
```

(2)
The following is a PBE calculation of Ac3NiSn after structural relaxation, from Alexandria via LeMat-Bulk.

Calculated values
Raw total energy = -4.839 eV/atom
Relative energy among the computed polymorphs = 0.0000 eV per atom
Volume = 681.1 Å³/cell

The structure in POSCAR format:
```
Ac3NiSn
1.0
8.8857 0.0000 0.0000
0.0000 4.8843 0.0000
0.0000 0.0000 15.6923
Ac Ni Sn
12 4 4
Cartesian
0.2783 1.2211 1.6898
1.3859 1.2211 7.9821
1.7376 3.6632 4.5173
2.7052 1.2211 12.3635
3.0570 3.6632 0.1359
4.1646 3.6632 9.5360
4.7211 1.2211 6.1563
5.8288 1.2211 15.5564
6.1805 3.6632 3.3289
7.1481 1.2211 11.1750
7.4998 3.6632 7.7103
8.6074 3.6632 14.0025
1.4140 1.2211 14.7837
3.0288 3.6632 6.9375
5.8569 1.2211 8.7548
7.4717 3.6632 0.9086
0.7497 3.6632 10.5894
3.6932 1.2211 2.7432
5.1926 3.6632 12.9491
8.1360 1.2211 5.1030
```

(3)
The following is a PBE calculation of YC3 after structural relaxation, from Alexandria via LeMat-Bulk.

Calculated values
Raw total energy = -6.913 eV/atom
Relative energy among the computed polymorphs = 1.3584 eV per atom
Volume = 45.7 Å³/cell

The structure in POSCAR format:
```
YC3
1.0
3.0986 0.0000 0.0000
0.0000 3.0986 0.0000
0.0000 0.0000 4.7596
Y C
1 3
Cartesian
0.0000 0.0000 0.0000
0.0000 0.0000 2.3798
1.5493 1.5493 1.6957
1.5493 1.5493 3.0639
```

(4)
The following is a PBE calculation of Sr3Sn5 after structural relaxation, from Alexandria via LeMat-Bulk.

Calculated values
Raw total energy = -3.645 eV/atom
Relative energy among the computed polymorphs = 0.0583 eV per atom
Volume = 535.1 Å³/cell

The structure in POSCAR format:
```
Sr3Sn5
1.0
0.0000 10.0269 7.9877
3.3406 0.0000 7.9877
3.3406 10.0269 0.0000
Sr Sn
6 10
Cartesian
0.0000 0.0000 0.0000
1.6703 5.0134 3.9939
3.4206 6.6052 7.9073
4.9309 11.6187 11.9011
3.2606 13.4486 7.9073
5.0909 18.4620 11.9011
3.3840 3.3192 6.5907
4.7233 11.5000 5.4776
3.0530 3.5403 9.4715
4.9674 8.3327 10.5846
1.9579 8.5538 5.4776
3.3406 10.0269 8.7668
3.2971 16.7346 6.5907
5.0109 15.0403 12.7607
3.6282 16.5135 9.4715
1.7137 11.7211 10.5846
```

(5)
The following is a PBE calculation of Ta2HgI after structural relaxation, from Alexandria via LeMat-Bulk.

Calculated values
Raw total energy = -5.534 eV/atom
Relative energy among the computed polymorphs = 0.0000 eV per atom
Formation energy without anion corrections = 856 meV/atom
Volume = 79.3 Å³/cell

The structure in POSCAR format:
```
Ta2HgI
1.0
0.0000 3.4094 3.4094
3.4094 0.0000 3.4094
3.4094 3.4094 0.0000
Ta Hg I
2 1 1
Cartesian
1.7047 1.7047 1.7047
5.1141 5.1141 5.1141
0.0000 0.0000 0.0000
3.4094 3.4094 3.4094
```

(6)
The following is a PBE calculation of La4PrEr2 after structural relaxation, from Alexandria via LeMat-Bulk.

Calculated values
Raw total energy = -4.732 eV/atom
Relative energy among the computed polymorphs = 0.0000 eV per atom
Volume = 493.4 Å³/cell

The structure in POSCAR format:
```
La4PrEr2
1.0
3.2731 -12.3480 0.0000
3.2731 12.3480 0.0000
-3.2697 0.0000 6.1035
La Pr Er
8 2 4
Cartesian
1.6382 11.8936 3.0517
0.0015 5.7231 4.5431
1.7669 4.8908 1.7238
1.7669 1.2820 2.8206
0.1320 -1.2820 5.8723
1.6364 -5.7231 1.4914
0.1321 -4.8908 4.7755
3.2731 -11.8936 0.0000
0.2051 9.2631 5.3269
1.8399 -9.2631 2.2752
1.4830 8.4612 1.9799
-0.1492 2.2906 5.6201
1.4857 -2.2906 2.5684
-0.1518 -8.4612 5.0316
```

(7)
The following is a PBE calculation of InRuRh after structural relaxation, from Alexandria via LeMat-Bulk.

Calculated values
Raw total energy = -6.347 eV/atom
Relative energy among the computed polymorphs = 0.0962 eV per atom
Volume = 48.2 Å³/cell

The structure in POSCAR format:
```
InRuRh
1.0
-1.4553 1.9374 4.2756
1.4553 -1.9374 4.2756
1.4553 1.9374 -4.2756
In Ru Rh
1 1 1
Cartesian
0.0000 0.0000 0.0000
0.0000 0.0000 2.7913
0.0000 0.0000 5.7549
```

(8)
The following is a PBE calculation of LaCoTc after structural relaxation, from Alexandria via LeMat-Bulk.

Calculated values
Raw total energy = -7.369 eV/atom
Relative energy among the computed polymorphs = 0.0331 eV per atom
Volume = 63.5 Å³/cell

The structure in POSCAR format:
```
LaCoTc
1.0
4.0227 0.0000 0.0000
-2.0113 3.4837 0.0000
0.0000 0.0000 4.5283
La Co Tc
1 1 1
Cartesian
0.0000 0.0000 0.0000
0.0000 2.3225 2.2641
2.0113 1.1612 2.2641
```

(9)
The following is a PBE calculation of NaEr2Hf after structural relaxation, from Alexandria via LeMat-Bulk.

Calculated values
Raw total energy = -4.960 eV/atom
Relative energy among the computed polymorphs = 0.0000 eV per atom
Volume = 117.0 Å³/cell

The structure in POSCAR format:
```
NaEr2Hf
1.0
3.3607 0.0000 0.0000
0.0000 3.3607 0.0000
0.0000 0.0000 10.3571
Na Er Hf
1 2 1
Cartesian
0.0000 0.0000 0.0000
1.6803 1.6803 2.9627
1.6803 1.6803 7.3943
0.0000 0.0000 5.1785
```

(10)
The following is a PBE calculation of Be2CuAu after structural relaxation, from Alexandria via LeMat-Bulk.

Calculated values
Raw total energy = -3.760 eV/atom
Volume = 46.5 Å³/cell

The structure in POSCAR format:
```
Be2CuAu
1.0
2.7196 0.0000 0.0000
0.0000 3.7788 0.0000
-1.3504 0.0000 4.5274
Be Cu Au
2 1 1
Cartesian
0.0000 0.0000 0.0000
0.0031 1.8894 1.2350
1.3662 0.0000 1.9392
0.0075 1.8894 3.6537
```

(11)
The following is a PBE calculation of Dy2YHoSc2 after structural relaxation, from Alexandria via LeMat-Bulk.

Calculated values
Raw total energy = -5.414 eV/atom
Volume = 350.2 Å³/cell

The structure in POSCAR format:
```
Dy2YHoSc2
1.0
6.8739 0.0000 0.0000
0.0000 9.3726 0.0000
0.0000 0.0000 5.4358
Dy Y Ho Sc
4 2 2 4
Cartesian
1.7189 1.5619 0.0000
1.7181 6.2482 2.7179
5.1558 3.1244 2.7179
5.1550 7.8107 0.0000
0.0000 0.0000 2.7179
3.4369 4.6863 0.0000
0.0000 4.6863 0.0000
3.4369 0.0000 2.7179
1.7149 3.1225 2.7179
1.7221 7.8088 0.0000
5.1518 1.5638 0.0000
5.1590 6.2501 2.7179
```

(12)
The following is a PBE calculation of Al2GaP3O12 after structural relaxation, from Alexandria via LeMat-Bulk.

Calculated values
Raw total energy = -7.259 eV/atom
Formation energy without anion corrections = -2468 meV/atom
Volume = 245.9 Å³/cell

The structure in POSCAR format:
```
Al2GaP3O12
1.0
4.3622 -2.5238 0.0000
4.3622 2.5238 0.0000
-0.1256 0.0000 11.1689
Al Ga P O
2 1 3 12
Cartesian
1.9998 0.0000 3.7135
6.5990 0.0000 7.4554
4.3622 -1.0319 0.0000
1.9223 0.0163 9.2997
4.2994 -1.0542 5.5845
6.6765 0.0163 1.8692
2.4730 1.1279 2.4543
2.4661 0.9576 8.2070
2.8924 0.0277 10.5032
3.2277 -0.1458 4.9595
6.1258 1.1279 8.7146
6.1327 0.9576 2.9620
5.7063 0.0277 0.6658
5.3710 -0.1458 6.2094
3.6931 -1.9542 6.6753
3.7116 -2.0429 1.3940
4.9056 -1.9542 4.4936
4.8872 -2.0429 9.7749
```

(13)
The following is a PBE calculation of MnZnSi2 after structural relaxation, from Alexandria via LeMat-Bulk.

Calculated values
Raw total energy = -5.255 eV/atom
Formation energy without anion corrections = 67 meV/atom
Volume = 53.8 Å³/cell

The structure in POSCAR format:
```
MnZnSi2
1.0
1.7675 -1.9929 0.0000
1.7675 1.9929 0.0000
0.0000 0.0000 7.6420
Mn Zn Si
1 1 2
Cartesian
0.0000 0.0000 0.0000
0.0000 0.0000 3.8210
1.7675 0.0000 1.6617
1.7675 0.0000 5.9802
```

(14)
The following is a PBE calculation of Sr3Ag3Pt after structural relaxation, from Alexandria via LeMat-Bulk.

Calculated values
Raw total energy = -3.218 eV/atom
Volume = 410.1 Å³/cell

The structure in POSCAR format:
```
Sr3Ag3Pt
1.0
5.8483 -2.2311 0.0000
5.8483 2.2311 0.0000
-5.7496 0.0000 15.7166
Sr Ag Pt
6 6 2
Cartesian
-1.3898 0.0000 6.3722
-4.1116 0.0000 14.5002
1.6630 0.0000 3.7415
4.2841 0.0000 11.9751
10.0587 0.0000 1.2164
7.3369 0.0000 9.3444
1.9482 0.0000 6.9589
-0.7354 0.0000 14.5070
0.9347 0.0000 12.0830
5.0124 0.0000 3.6336
6.6825 0.0000 1.2096
3.9988 0.0000 8.7577
-0.7615 0.0000 9.9155
6.7086 0.0000 5.8010
```

(15)
The following is a PBE calculation of LaCe3Fe after structural relaxation, from Alexandria via LeMat-Bulk.

Calculated values
Raw total energy = -6.142 eV/atom
Volume = 141.7 Å³/cell

The structure in POSCAR format:
```
LaCe3Fe
1.0
5.2130 0.0000 0.0000
0.0000 5.2130 0.0000
0.0000 0.0000 5.2130
La Ce Fe
1 3 1
Cartesian
0.0000 0.0000 0.0000
0.0000 2.6065 2.6065
2.6065 0.0000 2.6065
2.6065 2.6065 0.0000
2.6065 2.6065 2.6065
```

(16)
The following is a PBE calculation of KPuAu2 after structural relaxation, from Alexandria via LeMat-Bulk.

Calculated values
Raw total energy = -5.748 eV/atom
Volume = 101.1 Å³/cell

The structure in POSCAR format:
```
KPuAu2
1.0
5.6982 0.0000 0.0000
0.0000 5.6982 0.0000
0.0000 0.0000 3.1152
K Pu Au
1 1 2
Cartesian
0.0000 0.0000 0.0000
2.8491 2.8491 0.0000
0.0000 2.8491 1.5576
2.8491 0.0000 1.5576
```